1.
Compound: SrMgAg3
Source: Alexandria
Functional: PBE
Structure: optimized geometry

Unit cell a=5.7494 b=5.7494 c=5.7494 alpha=90.00 beta=90.00 gamma=90.00
Sites, in units of the cell vectors:
Sr 0.0000 0.0000 0.0000
Mg 0.5000 0.5000 0.5000
Ag 0.0000 0.0000 0.5000
Ag 0.0000 0.5000 0.0000
Ag 0.5000 0.0000 0.0000

The formation energy comes out at 0.828 eV per atom. Its energy relative to the lowest polymorph listed for this composition is 1008 meV per atom.

2.
Compound: Nd5Sm12Th2
Source: Alexandria
Functional: PBE
Structure: optimized geometry

Unit cell a=9.2654 b=9.2654 c=8.8398 alpha=92.66 beta=92.66 gamma=61.10
Sites, in units of the cell vectors:
Nd 0.0000 0.0000 0.0000
Nd 0.2335 0.2335 0.0654
Nd 0.2903 0.2903 0.4612
Nd 0.7097 0.7097 0.5388
Nd 0.7665 0.7665 0.9346
Sm 0.0333 0.6757 0.2588
Sm 0.0691 0.0691 0.3782
Sm 0.1715 0.5640 0.8139
Sm 0.3243 0.9667 0.7412
Sm 0.4360 0.8285 0.1861
Sm 0.4437 0.4437 0.1605
Sm 0.5563 0.5563 0.8395
Sm 0.5640 0.1715 0.8139
Sm 0.6757 0.0333 0.2588
Sm 0.8285 0.4360 0.1861
Sm 0.9309 0.9309 0.6218
Sm 0.9667 0.3243 0.7412
Th 0.3333 0.6667 0.5000
Th 0.6667 0.3333 0.5000

The formation energy comes out at 0.141 eV per atom. Its energy relative to the lowest polymorph listed for this composition is 0 meV per atom.

3.
Compound: Pr12MgAl4N3
Source: Alexandria
Functional: PBE
Structure: optimized geometry

Unit cell a=8.9800 b=8.9800 c=8.9800 alpha=109.47 beta=109.47 gamma=109.47
Sites, in units of the cell vectors:
Pr 0.0000 0.2744 0.2744
Pr 0.0000 0.7256 0.7256
Pr 0.2500 0.5000 0.7500
Pr 0.2500 0.7500 0.5000
Pr 0.2744 0.0000 0.2744
Pr 0.2744 0.2744 0.0000
Pr 0.5000 0.2500 0.7500
Pr 0.5000 0.7500 0.2500
Pr 0.7256 0.0000 0.7256
Pr 0.7256 0.7256 0.0000
Pr 0.7500 0.2500 0.5000
Pr 0.7500 0.5000 0.2500
Mg 0.0000 0.0000 0.0000
Al 0.0000 0.0000 0.5000
Al 0.0000 0.5000 0.0000
Al 0.5000 0.0000 0.0000
Al 0.5000 0.5000 0.5000
N 0.0000 0.5000 0.5000
N 0.5000 0.0000 0.5000
N 0.5000 0.5000 0.0000

The raw formation energy comes out at -0.3544 eV per atom.

4.
Compound: SnSbTe2N
Source: Alexandria
Functional: PBE
Structure: optimized geometry

Unit cell a=4.8517 b=4.8517 c=4.9408 alpha=90.00 beta=90.00 gamma=90.00
Sites, in units of the cell vectors:
Sn 0.0000 0.0000 0.0000
Sb 0.5000 0.5000 0.0000
Te 0.0000 0.5000 0.5000
Te 0.5000 0.0000 0.5000
N 0.5000 0.5000 0.5000

The raw formation energy comes out at 0.5571 eV per atom. Its energy relative to the lowest polymorph listed for this composition is 0 meV per atom.